Computed, not measured: a relaxed MgInCoO crystal at the PBE with a Hubbard U level of DFT.

Cell lengths 2.9114, 2.9114, 14.9142 Å; angles 90.00, 90.00, 90.00 degrees
With the nearest neighbours (Å) after each atom.
Space group I4mm (No. 107)
Symmetry-distinct sites (fractional):
Mg1 0.0000 0.0000 0.0000 (multiplicity 2)  4 O 2.06
In1 0.0000 0.0000 0.2768 (multiplicity 2)  4 Co 2.82, 4 In 2.91
Co1 0.0000 0.0000 0.6477 (multiplicity 2)  1 O 2.18
O1 0.0000 0.0000 0.5013 (multiplicity 2)  4 Mg 2.06, 1 Co 2.18

Calculated values
**Total magnetic moment**: 1.87 μB per formula unit
**Distance to the lowest polymorph of the same formula**: 0.0 kJ/mol of formula units
**Crystal system**: tetragonal


Computed, not measured: a relaxed MgInCoO crystal at the PBE with a Hubbard U level of DFT.

Cell lengths 4.5116, 3.1104, 5.6096 Å; angles 90.00, 94.21, 90.00 degrees
With the nearest neighbours (Å) after each atom.
Space group Pm (No. 6)
Symmetry-distinct sites (fractional):
Mg1 0.0000 0.0000 0.0000 (multiplicity 1)  2 O 1.91
In1 0.5379 0.0000 0.3827 (multiplicity 1)  4 Co 2.77-2.81, 1 Mg 3.10
Co1 0.0519 0.5000 0.4786 (multiplicity 1)  1 O 1.87
O1 0.9857 0.5000 0.8033 (multiplicity 1)  1 Co 1.87, 2 Mg 1.91

Calculated values
**Total magnetic moment**: 1.98 μB per formula unit
**Distance to the lowest polymorph of the same formula**: 97.6 kJ/mol of formula units
**Crystal system**: monoclinic


Computed, not measured: a relaxed MgInCoO crystal at the PBE with a Hubbard U level of DFT.

Cell lengths 3.2404, 3.2404, 22.6587 Å; angles 90.00, 90.00, 120.00 degrees
With the nearest neighbours (Å) after each atom.
Space group R3m (No. 160, hexagonal axes)
Symmetry-distinct sites (fractional):
Mg1 0.0000 0.0000 0.0000 (multiplicity 3)  3 O 1.97
In1 0.0000 0.0000 0.2086 (multiplicity 3)  3 Co 2.84
Co1 0.0000 0.0000 0.4477 (multiplicity 3)  1 O 1.96
O1 0.0000 0.0000 0.3611 (multiplicity 3)  1 Co 1.96, 3 Mg 1.97

Calculated values
**Total magnetic moment**: 2.09 μB per formula unit
**Distance to the lowest polymorph of the same formula**: 18.4 kJ/mol of formula units
**Crystal system**: trigonal


Computed, not measured: a relaxed MgInCoO crystal at the PBE with a Hubbard U level of DFT.

Cell lengths 3.1714, 3.1714, 7.4895 Å; angles 90.00, 90.00, 120.00 degrees
With the nearest neighbours (Å) after each atom.
Space group P3m1 (No. 156)
Symmetry-distinct sites (fractional):
Mg1 0.0000 0.0000 0.0000 (multiplicity 1)  3 O 1.97
In1 0.3333 0.6667 0.6035 (multiplicity 1)  1 O 2.25
Co1 0.6667 0.3333 0.3225 (multiplicity 1)  3 In 2.79, 3 Mg 3.03
O1 0.3333 0.6667 0.9035 (multiplicity 1)  3 Mg 1.97

Calculated values
**Total magnetic moment**: 2.09 μB per formula unit
**Distance to the lowest polymorph of the same formula**: 62.6 kJ/mol of formula units
**Crystal system**: trigonal


Computed, not measured: a relaxed Mg2InCoO4 crystal at the PBE with a Hubbard U level of DFT.

Cell lengths 6.2354, 6.3196, 8.7612 Å; angles 90.00, 90.00, 90.00 degrees
With the nearest neighbours (Å) after each atom.
Space group Imma (No. 74)
Symmetry-distinct sites (fractional):
Mg1 0.0000 0.0000 0.0000 (multiplicity 4)  6 O 2.17
Mg2 0.2500 0.2500 0.2500 (multiplicity 4)  6 O 2.11-2.14
In1 0.0000 0.0000 0.5000 (multiplicity 4)  6 O 2.22-2.27
Co1 0.2500 0.2500 0.7500 (multiplicity 4)  6 O 2.27-2.31
O1 0.0000 0.0188 0.2470 (multiplicity 8)  3 Mg 2.14-2.17, 1 In 2.22, 2 Co 2.31
O2 0.2393 0.2500 0.0093 (multiplicity 8)  3 Mg 2.11-2.17, 2 In 2.27, 1 Co 2.27

Calculated values
**Total magnetic moment**: 2.23 μB per formula unit
**Crystal system**: orthorhombic
**Total energy**: -5.623 eV per atom